(1)
{
  "formula": "Sr2SnBPt6",
  "functional": "PBE-GGA",
  "state": "relaxed",
  "formation_enthalpy_0k_ev_per_atom": -0.5688,
  "sg": "I4mm (107)",
  "total_magnetization_mub_per_fu": 0.00,
  "e_tot_ev_per_atom": -5.5977,
  "cell": [[-3.690, 4.724, 1.219], [-4.824, -3.760, -0.030], [4.899, -1.347, 4.699]],
  "species": ["Pt", "Sr", "Sr", "B", "Sn", "Pt", "Pt", "Pt", "Pt", "Pt"],
  "fractional_positions": [[0.791, 0.791, 0.581], [0.720, 0.220, 0.439], [0.220, 0.720, 0.439], [0.075, 0.075, 0.150], [0.559, 0.559, 0.118], [0.191, 0.192, 0.934], [0.268, 0.268, 0.535], [0.742, 0.192, 0.934], [0.742, 0.743, 0.934], [0.191, 0.743, 0.934]]
}

=====

(2)
{
  "formula": "HgIr2W",
  "functional": "PBE-GGA",
  "state": "relaxed",
  "formation_enthalpy_0k_ev_per_atom": 0.6328,
  "sg": "I-42d (122)",
  "total_magnetization_mub_per_fu": 0.00,
  "e_tot_ev_per_atom": -7.1114,
  "cell": [[7.314, 0.000, 0.000], [0.000, 7.314, 0.000], [3.657, 3.657, 2.790]],
  "species": ["W", "Hg", "Ir", "W", "Hg", "Ir", "Ir", "Ir"],
  "fractional_positions": [[0.250, 0.750, 0.500], [0.000, 0.000, 0.000], [0.375, 0.420, 0.750], [0.500, 0.500, 0.000], [0.750, 0.250, 0.500], [0.170, 0.625, 0.250], [0.580, 0.125, 0.250], [0.875, 0.830, 0.750]]
}

=====

(3)
{
  "formula": "Pm4Zn2Rh",
  "functional": "PBE-GGA",
  "state": "relaxed",
  "formation_enthalpy_0k_ev_per_atom": -0.3151,
  "sg": "Cmmm (65)",
  "total_magnetization_mub_per_fu": 0.00,
  "e_tot_ev_per_atom": -4.4440,
  "cell": [[4.994, 0.000, 0.000], [0.000, 5.914, -1.974], [0.000, -0.023, 6.235]],
  "species": ["Pm", "Pm", "Zn", "Pm", "Zn", "Rh", "Pm"],
  "fractional_positions": [[0.000, 0.743, 0.743], [0.500, 0.000, 0.500], [0.000, 0.754, 0.246], [0.500, 0.500, 0.000], [0.000, 0.246, 0.754], [0.500, 0.500, 0.500], [0.000, 0.257, 0.257]]
}

=====

(4)
{
  "formula": "Tb2Pm3DyY6",
  "functional": "PBE-GGA",
  "state": "relaxed",
  "formation_enthalpy_0k_ev_per_atom": 0.0162,
  "sg": "C2/m (12)",
  "total_magnetization_mub_per_fu": 0.00,
  "e_tot_ev_per_atom": -5.5587,
  "cell": [[6.217, 0.001, 0.007], [-3.106, 5.385, 0.007], [-1.045, -1.809, 11.665]],
  "species": ["Y", "Y", "Y", "Pm", "Y", "Tb", "Tb", "Y", "Y", "Pm", "Pm", "Dy"],
  "fractional_positions": [[0.584, 0.917, 0.752], [0.750, 0.750, 0.248], [0.083, 0.416, 0.248], [0.833, 0.167, 0.500], [0.250, 0.250, 0.752], [0.333, 0.667, 0.000], [0.667, 0.333, 0.000], [0.416, 0.083, 0.248], [0.917, 0.584, 0.752], [0.167, 0.833, 0.500], [0.500, 0.500, 0.500], [0.000, 0.000, 0.000]]
}

=====

(5)
{
  "formula": "Li2RePt",
  "functional": "PBE-GGA",
  "state": "relaxed",
  "formation_enthalpy_0k_ev_per_atom": 0.2133,
  "polymorph_energy_ev_per_atom": 0.342,
  "sg": "I4/mmm (139)",
  "total_magnetization_mub_per_fu": 0.00,
  "e_tot_ev_per_atom": -5.3659,
  "cell": [[5.106, -0.009, 0.000], [2.505, 4.450, 0.000], [-3.806, -2.220, 2.581]],
  "species": ["Re", "Li", "Pt", "Li"],
  "fractional_positions": [[0.750, 0.250, 0.500], [0.000, 0.000, 0.000], [0.250, 0.750, 0.500], [0.500, 0.500, 0.000]]
}

=====

(6)
{
  "formula": "Tb2SiSe4",
  "functional": "PBE-GGA",
  "state": "relaxed",
  "formation_energy_uncorrected_ev_per_atom": -0.999,
  "sg": "I-42m (121)",
  "total_magnetization_mub_per_fu": 0.00,
  "e_tot_ev_per_atom": -5.0881,
  "cell": [[-3.460, -4.506, -2.856], [5.149, -1.931, -3.192], [0.479, -0.624, 7.483]],
  "species": ["Se", "Tb", "Se", "Tb", "Si", "Se", "Se"],
  "fractional_positions": [[0.374, 0.861, 0.234], [0.750, 0.250, 0.500], [0.626, 0.626, 0.766], [0.250, 0.750, 0.500], [0.500, 0.500, 0.000], [0.861, 0.374, 0.234], [0.139, 0.139, 0.766]]
}

=====

(7)
{
  "formula": "Li2YLu",
  "functional": "PBE-GGA",
  "state": "relaxed",
  "formation_enthalpy_0k_ev_per_atom": 0.1485,
  "sg": "Fm-3m (225)",
  "total_magnetization_mub_per_fu": 0.00,
  "e_tot_ev_per_atom": -3.5547,
  "cell": [[-5.064, -0.276, 1.148], [-1.557, -2.442, 4.318], [-1.915, 2.735, 3.986]],
  "species": ["Li", "Y", "Li", "Lu"],
  "fractional_positions": [[0.750, 0.750, 0.750], [0.500, 0.500, 0.500], [0.250, 0.250, 0.250], [0.000, 0.000, 0.000]]
}

=====

(8)
{
  "formula": "Zr5CuTc4",
  "functional": "PBE-GGA",
  "state": "relaxed",
  "formation_enthalpy_0k_ev_per_atom": -0.3335,
  "sg": "P4/mmm (123)",
  "total_magnetization_mub_per_fu": 0.00,
  "e_tot_ev_per_atom": -9.1636,
  "cell": [[-1.044, -2.797, -1.437], [1.716, 0.762, -2.730], [12.993, -7.915, 5.961]],
  "species": ["Zr", "Zr", "Tc", "Tc", "Cu", "Zr", "Tc", "Tc", "Zr", "Zr"],
  "fractional_positions": [[0.500, 0.500, 0.897], [0.500, 0.500, 0.300], [0.000, 0.000, 0.399], [0.000, 0.000, 0.601], [0.000, 0.000, 0.000], [0.500, 0.500, 0.103], [0.000, 0.000, 0.805], [0.000, 0.000, 0.195], [0.500, 0.500, 0.500], [0.500, 0.500, 0.700]]
}

=====

(9)
{
  "formula": "LaAuSe",
  "functional": "PBE-GGA",
  "state": "relaxed",
  "formation_energy_uncorrected_ev_per_atom": -1.171,
  "polymorph_energy_ev_per_atom": 0.230,
  "sg": "P3m1 (156)",
  "total_magnetization_mub_per_fu": 0.00,
  "e_tot_ev_per_atom": -5.0676,
  "cell": [[4.481, 0.000, 0.000], [-2.240, 3.880, 0.000], [0.000, 0.000, 4.811]],
  "species": ["La", "Se", "Au"],
  "fractional_positions": [[0.667, 0.333, 0.335], [0.333, 0.667, 0.670], [0.000, 0.000, 0.995]]
}

=====

(10)
{
  "formula": "Ti3NbAl2",
  "functional": "PBE-GGA",
  "state": "relaxed",
  "formation_enthalpy_0k_ev_per_atom": -0.1755,
  "polymorph_energy_ev_per_atom": 0.155,
  "sg": "Fmmm (69)",
  "total_magnetization_mub_per_fu": 1.42,
  "e_tot_ev_per_atom": -7.0487,
  "cell": [[4.888, 1.382, -1.624], [0.807, 5.015, -1.624], [-0.975, -1.096, 9.046]],
  "species": ["Ti", "Ti", "Ti", "Al", "Ti", "Al", "Nb", "Ti", "Al", "Nb", "Ti", "Al"],
  "fractional_positions": [[0.669, 0.669, 0.835], [0.331, 0.331, 0.165], [0.166, 0.166, 0.332], [0.250, 0.750, 0.500], [0.834, 0.834, 0.668], [0.750, 0.250, 0.500], [0.667, 0.667, 0.335], [0.166, 0.166, 0.835], [0.250, 0.750, 0.000], [0.333, 0.333, 0.665], [0.834, 0.834, 0.165], [0.750, 0.250, 0.000]]
}

=====

(11)
{
  "formula": "BaTl2Hg2Pb2",
  "functional": "PBE-GGA",
  "state": "relaxed",
  "formation_enthalpy_0k_ev_per_atom": -0.2235,
  "sg": "R-3m (166)",
  "total_magnetization_mub_per_fu": 0.00,
  "e_tot_ev_per_atom": -2.3201,
  "cell": [[-5.319, 1.252, 0.622], [-3.640, -1.469, -3.852], [-4.237, -7.352, 2.881]],
  "species": ["Tl", "Hg", "Pb", "Pb", "Hg", "Tl", "Ba"],
  "fractional_positions": [[0.854, 0.854, 0.439], [0.725, 0.725, 0.825], [0.431, 0.431, 0.706], [0.569, 0.569, 0.294], [0.275, 0.275, 0.175], [0.146, 0.146, 0.561], [0.000, 0.000, 0.000]]
}

=====

(12)
{
  "formula": "TaW2Cl",
  "functional": "PBE-GGA",
  "state": "relaxed",
  "formation_energy_uncorrected_ev_per_atom": 0.690,
  "polymorph_energy_ev_per_atom": 0.454,
  "sg": "Immm (71)",
  "total_magnetization_mub_per_fu": 0.00,
  "e_tot_ev_per_atom": -9.2118,
  "cell": [[-2.726, 1.974, 4.376], [-0.943, -3.153, 4.432], [3.610, 2.393, -3.423]],
  "species": ["W", "W", "Cl", "Ta"],
  "fractional_positions": [[0.977, 0.977, 0.000], [0.523, 0.523, 0.000], [0.750, 0.250, 0.500], [0.250, 0.750, 0.500]]
}